{"formula": "TbNdMgNi", "functional": "PBE", "state": "optimized geometry", "cell": [[5.1488, 0.0000, 0.0000], [2.5744, 4.4590, 0.0000], [2.5744, 1.4863, 4.2039]], "species": ["Ni", "Mg", "Tb", "Nd"], "fractional_positions": [[0.0000, 0.0000, 0.0000], [0.5000, 0.5000, 0.5000], [0.7500, 0.7500, 0.7500], [0.2500, 0.2500, 0.2500]], "m_tot_mub_per_atom": 0.000, "spacegroup": "F-43m (216)", "formation_enthalpy_0k_ev_per_fu": -0.271, "dos_at_fermi_per_ev_atom": 0.90, "dft_energy_ev_per_cell": -17.05}